Entry 1:
# Ac2SeI2N | Alexandria | PBE-GGA | relaxed
data_Ac2SeI2N
_chemical_formula_sum 'Ac4 Se2 I4 N2'
_space_group_name_H-M_alt 'P 1'
_space_group_IT_number 1
_space_group_name_Hall 'P 1'
_cell_length_a 4.5296
_cell_length_b 7.9886
_cell_length_c 12.2734
_cell_angle_alpha 90.00
_cell_angle_beta 90.00
_cell_angle_gamma 90.00
loop_
_atom_site_label
_atom_site_type_symbol
_atom_site_fract_x
_atom_site_fract_y
_atom_site_fract_z
Ac1 Ac 0.5000 0.8371 0.5747
Ac2 Ac 0.0000 0.7362 0.2995
Ac3 Ac 0.0000 0.2362 0.7005
Ac4 Ac 0.5000 0.3371 0.4253
I1 I 0.0000 0.8465 0.7878
I2 I 0.5000 0.9007 0.1259
I3 I 0.0000 0.3465 0.2122
I4 I 0.5000 0.4007 0.8741
N1 N 0.5000 0.1793 0.6145
N2 N 0.5000 0.6793 0.3855
Se1 Se 0.0000 0.5457 0.5435
Se2 Se 0.0000 0.0457 0.4565
# Raw formation energy: -1.378 eV/atom
# Volume: 444 Å³/cell


Entry 2:
# Cs2Sm2SnO6 | Alexandria | PBE-GGA | relaxed
data_Cs2Sm2SnO6
_chemical_formula_sum 'Cs2 Sm2 Sn1 O6'
_space_group_name_H-M_alt 'P 1'
_space_group_IT_number 1
_space_group_name_Hall 'P 1'
_cell_length_a 6.0523
_cell_length_b 6.0523
_cell_length_c 7.3100
_cell_angle_alpha 97.59
_cell_angle_beta 97.59
_cell_angle_gamma 119.65
loop_
_atom_site_label
_atom_site_type_symbol
_atom_site_fract_x
_atom_site_fract_y
_atom_site_fract_z
O1 O 0.6428 0.9540 0.3437
O2 O 0.9540 0.6428 0.3437
O3 O 0.2506 0.2506 0.3426
O4 O 0.0460 0.3572 0.6563
O5 O 0.7494 0.7494 0.6574
O6 O 0.3572 0.0460 0.6563
Sn1 Sn 0.0000 0.0000 0.5000
Sm1 Sm 0.6655 0.3345 0.5000
Sm2 Sm 0.3345 0.6655 0.5000
Cs1 Cs 0.1660 0.8340 0.0000
Cs2 Cs 0.8340 0.1660 0.0000
# Raw formation energy: -2.325 eV/atom
# Volume: 225 Å³/cell


Entry 3:
# Pr5Er2Tm2 | Alexandria | PBE-GGA | relaxed
data_Pr5Er2Tm2
_chemical_formula_sum 'Pr5 Er2 Tm2'
_space_group_name_H-M_alt 'P 1'
_space_group_IT_number 1
_space_group_name_Hall 'P 1'
_cell_length_a 6.2787
_cell_length_b 9.5758
_cell_length_c 6.2515
_cell_angle_alpha 83.86
_cell_angle_beta 80.41
_cell_angle_gamma 123.22
loop_
_atom_site_label
_atom_site_type_symbol
_atom_site_fract_x
_atom_site_fract_y
_atom_site_fract_z
Er1 Er 0.5605 0.1125 0.2220
Er2 Er 0.4395 0.8875 0.7780
Tm1 Tm 0.2199 0.4468 0.8912
Tm2 Tm 0.7801 0.5532 0.1088
Pr1 Pr 0.3345 0.6671 0.3314
Pr2 Pr 0.6655 0.3329 0.6686
Pr3 Pr 0.1130 0.2231 0.4414
Pr4 Pr 0.0000 0.0000 0.0000
Pr5 Pr 0.8870 0.7769 0.5586
# Formation energy: 21 meV per atom
# Volume: 301 Å³/cell


Entry 4:
# RbLi2LaIn | Alexandria | PBE-GGA | relaxed
data_RbLi2LaIn
_chemical_formula_sum 'Rb1 Li2 La1 In1'
_space_group_name_H-M_alt 'P 1'
_space_group_IT_number 1
_space_group_name_Hall 'P 1'
_cell_length_a 5.3582
_cell_length_b 5.3582
_cell_length_c 6.2991
_cell_angle_alpha 90.00
_cell_angle_beta 90.00
_cell_angle_gamma 90.00
loop_
_atom_site_label
_atom_site_type_symbol
_atom_site_fract_x
_atom_site_fract_y
_atom_site_fract_z
In1 In 0.0000 0.0000 0.0000
Li1 Li 0.0000 0.5000 0.0000
Li2 Li 0.5000 0.0000 0.0000
Rb1 Rb 0.0000 0.0000 0.5000
La1 La 0.5000 0.5000 0.5000
# Formation energy: 473 meV per atom
# Volume: 181 Å³/cell


Entry 5:
# Tm8Zr | Alexandria | PBE-GGA | relaxed
data_Tm8Zr
_chemical_formula_sum 'Tm8 Zr1'
_space_group_name_H-M_alt 'P 1'
_space_group_IT_number 1
_space_group_name_Hall 'P 1'
_cell_length_a 3.5357
_cell_length_b 8.8380
_cell_length_c 8.8380
_cell_angle_alpha 87.71
_cell_angle_beta 78.46
_cell_angle_gamma 78.46
loop_
_atom_site_label
_atom_site_type_symbol
_atom_site_fract_x
_atom_site_fract_y
_atom_site_fract_z
Tm1 Tm 0.6588 0.6824 0.0000
Tm2 Tm 0.0000 0.6658 0.3342
Tm3 Tm 0.3412 0.3176 0.0000
Tm4 Tm 0.0000 0.3342 0.6658
Tm5 Tm 0.3412 0.0000 0.3176
Tm6 Tm 0.6658 0.3342 0.3342
Tm7 Tm 0.6588 0.0000 0.6824
Tm8 Tm 0.3342 0.6658 0.6658
Zr1 Zr 0.0000 0.0000 0.0000
# Formation energy: 148 meV per atom
# Volume: 265 Å³/cell


Entry 6:
# LaThAlSi | Alexandria | PBE-GGA | relaxed
data_LaThAlSi
_chemical_formula_sum 'La1 Th1 Al1 Si1'
_space_group_name_H-M_alt 'P 1'
_space_group_IT_number 1
_space_group_name_Hall 'P 1'
_cell_length_a 4.4864
_cell_length_b 4.0706
_cell_length_c 6.1516
_cell_angle_alpha 90.00
_cell_angle_beta 111.39
_cell_angle_gamma 90.00
loop_
_atom_site_label
_atom_site_type_symbol
_atom_site_fract_x
_atom_site_fract_y
_atom_site_fract_z
Si1 Si 0.4272 0.0000 0.8544
Al1 Al 0.5672 0.5000 0.1344
Th1 Th 0.8596 0.5000 0.7192
La1 La 0.1460 0.0000 0.2920
# Raw formation energy: -0.540 eV/atom
# Volume: 105 Å³/cell


Entry 7:
# FeCo2Ni2 | Alexandria | PBE-GGA | relaxed
data_FeCo2Ni2
_chemical_formula_sum 'Fe2 Co4 Ni4'
_space_group_name_H-M_alt 'P 1'
_space_group_IT_number 1
_space_group_name_Hall 'P 1'
_cell_length_a 6.8255
_cell_length_b 6.8255
_cell_length_c 2.4929
_cell_angle_alpha 90.00
_cell_angle_beta 90.00
_cell_angle_gamma 90.00
loop_
_atom_site_label
_atom_site_type_symbol
_atom_site_fract_x
_atom_site_fract_y
_atom_site_fract_z
Co1 Co 0.6741 0.8259 0.5000
Co2 Co 0.3259 0.1741 0.5000
Co3 Co 0.8259 0.3259 0.5000
Co4 Co 0.1741 0.6741 0.5000
Fe1 Fe 0.5000 0.5000 0.0000
Fe2 Fe 0.0000 0.0000 0.0000
Ni1 Ni 0.8763 0.6237 0.0000
Ni2 Ni 0.1237 0.3763 0.0000
Ni3 Ni 0.3763 0.8763 0.0000
Ni4 Ni 0.6237 0.1237 0.0000
# Formation energy: 176 meV per atom
# Volume: 116 Å³/cell


Entry 8:
# Pm7DyTm4 | Alexandria | PBE-GGA | relaxed
data_Pm7DyTm4
_chemical_formula_sum 'Pm7 Dy1 Tm4'
_space_group_name_H-M_alt 'P 1'
_space_group_IT_number 1
_space_group_name_Hall 'P 1'
_cell_length_a 7.2266
_cell_length_b 6.2723
_cell_length_c 11.4690
_cell_angle_alpha 79.54
_cell_angle_beta 50.96
_cell_angle_gamma 90.02
loop_
_atom_site_label
_atom_site_type_symbol
_atom_site_fract_x
_atom_site_fract_y
_atom_site_fract_z
Tm1 Tm 0.5867 0.2777 0.6664
Tm2 Tm 0.4133 0.7223 0.3336
Tm3 Tm 0.1641 0.2193 0.3360
Tm4 Tm 0.8359 0.7807 0.6640
Dy1 Dy 0.0000 0.0000 0.0000
Pm1 Pm 0.7453 0.5014 0.0016
Pm2 Pm 0.3349 0.7784 0.6651
Pm3 Pm 0.9158 0.7196 0.3352
Pm4 Pm 0.0842 0.2804 0.6648
Pm5 Pm 0.5000 0.0000 0.0000
Pm6 Pm 0.2547 0.4986 0.9984
Pm7 Pm 0.6651 0.2216 0.3349
# Formation energy: 2 meV per atom
# Volume: 393 Å³/cell


Entry 9:
# Na2Sn4Rh | Alexandria | PBE-GGA | relaxed
data_Na2Sn4Rh
_chemical_formula_sum 'Na2 Sn4 Rh1'
_space_group_name_H-M_alt 'P 1'
_space_group_IT_number 1
_space_group_name_Hall 'P 1'
_cell_length_a 5.1512
_cell_length_b 5.1512
_cell_length_c 8.6423
_cell_angle_alpha 72.66
_cell_angle_beta 72.66
_cell_angle_gamma 90.00
loop_
_atom_site_label
_atom_site_type_symbol
_atom_site_fract_x
_atom_site_fract_y
_atom_site_fract_z
Sn1 Sn 0.1720 0.1720 0.6560
Sn2 Sn 0.5000 0.0000 0.0000
Sn3 Sn 0.8280 0.8280 0.3440
Sn4 Sn 0.0000 0.5000 0.0000
Na1 Na 0.6362 0.6362 0.7276
Na2 Na 0.3638 0.3638 0.2724
Rh1 Rh 0.0000 0.0000 0.0000
# Formation energy: 23 meV per atom
# Volume: 208 Å³/cell


Entry 10:
# TaFeSe | Alexandria | PBE-GGA | relaxed
data_TaFeSe
_chemical_formula_sum 'Ta2 Fe2 Se2'
_space_group_name_H-M_alt 'P 1'
_space_group_IT_number 1
_space_group_name_Hall 'P 1'
_cell_length_a 3.7381
_cell_length_b 3.7381
_cell_length_c 9.9463
_cell_angle_alpha 79.17
_cell_angle_beta 79.17
_cell_angle_gamma 60.00
loop_
_atom_site_label
_atom_site_type_symbol
_atom_site_fract_x
_atom_site_fract_y
_atom_site_fract_z
Fe1 Fe 0.1673 0.1673 0.4980
Fe2 Fe 0.8327 0.8327 0.5020
Ta1 Ta 0.4438 0.4438 0.6686
Ta2 Ta 0.5562 0.5562 0.3314
Se1 Se 0.2761 0.2761 0.1718
Se2 Se 0.7239 0.7239 0.8282
# Raw formation energy: -0.224 eV/atom
# Volume: 117 Å³/cell


Entry 11:
# CoHSeBr | Alexandria | PBE-GGA | relaxed
data_CoHSeBr
_chemical_formula_sum 'Co2 H2 Se2 Br2'
_space_group_name_H-M_alt 'P 1'
_space_group_IT_number 1
_space_group_name_Hall 'P 1'
_cell_length_a 6.3413
_cell_length_b 3.4244
_cell_length_c 7.5813
_cell_angle_alpha 90.00
_cell_angle_beta 95.26
_cell_angle_gamma 90.00
loop_
_atom_site_label
_atom_site_type_symbol
_atom_site_fract_x
_atom_site_fract_y
_atom_site_fract_z
Se1 Se 0.3024 0.0000 0.1869
Se2 Se 0.3024 0.5000 0.6869
Br1 Br 0.8636 0.0000 0.9308
Br2 Br 0.8636 0.5000 0.4308
Co1 Co 0.0924 0.5000 0.0698
Co2 Co 0.0924 0.0000 0.5698
H1 H 0.2359 0.5000 0.8946
H2 H 0.2359 0.0000 0.3946
# Final energy: -3.977 eV/atom
# Volume: 164 Å³/cell


Entry 12:
# Ta2AgRu | Alexandria | PBE-GGA | relaxed
data_Ta2AgRu
_chemical_formula_sum 'Ta2 Ag1 Ru1'
_space_group_name_H-M_alt 'P 1'
_space_group_IT_number 1
_space_group_name_Hall 'P 1'
_cell_length_a 4.5812
_cell_length_b 4.5812
_cell_length_c 4.5812
_cell_angle_alpha 60.00
_cell_angle_beta 60.00
_cell_angle_gamma 60.00
loop_
_atom_site_label
_atom_site_type_symbol
_atom_site_fract_x
_atom_site_fract_y
_atom_site_fract_z
Ru1 Ru 0.0000 0.0000 0.0000
Ta1 Ta 0.7500 0.7500 0.7500
Ta2 Ta 0.2500 0.2500 0.2500
Ag1 Ag 0.5000 0.5000 0.5000
# Formation energy: 255 meV per atom
# Volume: 68 Å³/cell


Entry 13:
# Te2MoWI | Alexandria | PBE-GGA | relaxed
data_Te2MoWI
_chemical_formula_sum 'Te2 Mo1 W1 I1'
_space_group_name_H-M_alt 'P 1'
_space_group_IT_number 1
_space_group_name_Hall 'P 1'
_cell_length_a 5.2711
_cell_length_b 5.2711
_cell_length_c 5.6985
_cell_angle_alpha 90.00
_cell_angle_beta 90.00
_cell_angle_gamma 90.00
loop_
_atom_site_label
_atom_site_type_symbol
_atom_site_fract_x
_atom_site_fract_y
_atom_site_fract_z
W1 W 0.0000 0.0000 0.0000
Te1 Te 0.5000 0.0000 0.0000
Te2 Te 0.0000 0.5000 0.0000
I1 I 0.0000 0.0000 0.5000
Mo1 Mo 0.5000 0.5000 0.5000
# Raw formation energy: 1.334 eV/atom
# Volume: 158 Å³/cell


Entry 14:
# La5Al2Bi | Alexandria | PBE-GGA | relaxed
data_La5Al2Bi
_chemical_formula_sum 'La10 Al4 Bi2'
_space_group_name_H-M_alt 'P 1'
_space_group_IT_number 1
_space_group_name_Hall 'P 1'
_cell_length_a 8.6474
_cell_length_b 8.6474
_cell_length_c 9.1503
_cell_angle_alpha 118.20
_cell_angle_beta 118.20
_cell_angle_gamma 90.00
loop_
_atom_site_label
_atom_site_type_symbol
_atom_site_fract_x
_atom_site_fract_y
_atom_site_fract_z
La1 La 0.6825 0.1825 0.7049
La2 La 0.1825 0.0225 0.7049
La3 La 0.0225 0.5225 0.7049
La4 La 0.9775 0.4775 0.2951
La5 La 0.5225 0.6825 0.7049
La6 La 0.8175 0.9775 0.2951
La7 La 0.5000 0.5000 0.0000
La8 La 0.0000 0.0000 0.0000
La9 La 0.3175 0.8175 0.2951
La10 La 0.4775 0.3175 0.2951
Al1 Al 0.6216 0.1216 0.0000
Al2 Al 0.8784 0.6216 0.0000
Al3 Al 0.1216 0.3784 0.0000
Al4 Al 0.3784 0.8784 0.0000
Bi1 Bi 0.7500 0.7500 0.5000
Bi2 Bi 0.2500 0.2500 0.5000
# Formation energy: -462 meV per atom
# Volume: 509 Å³/cell


Entry 15:
# NbAgPS2 | Alexandria | PBE-GGA | relaxed
data_NbAgPS2
_chemical_formula_sum 'Nb1 Ag1 P1 S2'
_space_group_name_H-M_alt 'P 1'
_space_group_IT_number 1
_space_group_name_Hall 'P 1'
_cell_length_a 4.7340
_cell_length_b 4.7340
_cell_length_c 4.7026
_cell_angle_alpha 90.00
_cell_angle_beta 90.00
_cell_angle_gamma 90.00
loop_
_atom_site_label
_atom_site_type_symbol
_atom_site_fract_x
_atom_site_fract_y
_atom_site_fract_z
S1 S 0.0000 0.5000 0.0000
S2 S 0.5000 0.0000 0.0000
Ag1 Ag 0.0000 0.0000 0.0000
P1 P 0.0000 0.0000 0.5000
Nb1 Nb 0.5000 0.5000 0.5000
# Raw formation energy: 1.051 eV/atom
# Volume: 105 Å³/cell


Entry 16:
# MnCoAs | Alexandria | PBE-GGA | relaxed
data_MnCoAs
_chemical_formula_sum 'Mn3 Co3 As3'
_space_group_name_H-M_alt 'P 1'
_space_group_IT_number 1
_space_group_name_Hall 'P 1'
_cell_length_a 3.5886
_cell_length_b 6.1132
_cell_length_c 6.1131
_cell_angle_alpha 120.00
_cell_angle_beta 90.00
_cell_angle_gamma 90.00
loop_
_atom_site_label
_atom_site_type_symbol
_atom_site_fract_x
_atom_site_fract_y
_atom_site_fract_z
Mn1 Mn 0.5000 0.4107 0.4107
Mn2 Mn 0.5000 0.0000 0.5893
Mn3 Mn 0.5000 0.5893 0.0000
Co1 Co 0.0000 0.2541 0.0000
Co2 Co 0.0000 0.0000 0.2541
Co3 Co 0.0000 0.7459 0.7459
As1 As 0.0000 0.6667 0.3333
As2 As 0.0000 0.3333 0.6667
As3 As 0.5000 0.0000 0.0000
# Formation energy: -263 meV per atom
# Volume: 116 Å³/cell


Entry 17:
# TlBr2Cl | Alexandria | PBE-GGA | relaxed
data_TlBr2Cl
_chemical_formula_sum 'Tl1 Br2 Cl1'
_space_group_name_H-M_alt 'P 1'
_space_group_IT_number 1
_space_group_name_Hall 'P 1'
_cell_length_a 5.3197
_cell_length_b 5.3988
_cell_length_c 5.3603
_cell_angle_alpha 90.00
_cell_angle_beta 90.00
_cell_angle_gamma 90.00
loop_
_atom_site_label
_atom_site_type_symbol
_atom_site_fract_x
_atom_site_fract_y
_atom_site_fract_z
Cl1 Cl 0.5000 0.5000 0.2500
Br1 Br 0.0000 0.0000 0.0048
Br2 Br 0.0000 0.0000 0.4952
Tl1 Tl 0.5000 0.5000 0.7500
# Raw formation energy: -0.344 eV/atom
# Volume: 154 Å³/cell


Entry 18:
# KTePt2 | Alexandria | PBE-GGA | relaxed
data_KTePt2
_chemical_formula_sum 'K1 Te1 Pt2'
_space_group_name_H-M_alt 'P 1'
_space_group_IT_number 1
_space_group_name_Hall 'P 1'
_cell_length_a 4.9249
_cell_length_b 4.9249
_cell_length_c 4.9249
_cell_angle_alpha 60.00
_cell_angle_beta 60.00
_cell_angle_gamma 60.00
loop_
_atom_site_label
_atom_site_type_symbol
_atom_site_fract_x
_atom_site_fract_y
_atom_site_fract_z
Pt1 Pt 0.7500 0.7500 0.7500
Pt2 Pt 0.0000 0.0000 0.0000
K1 K 0.5000 0.5000 0.5000
Te1 Te 0.2500 0.2500 0.2500
# Raw formation energy: 0.338 eV/atom
# Volume: 84 Å³/cell


Entry 19:
# ScAlZn6Ag | Alexandria | PBE-GGA | relaxed
data_ScAlZn6Ag
_chemical_formula_sum 'Sc2 Al2 Zn12 Ag2'
_space_group_name_H-M_alt 'P 1'
_space_group_IT_number 1
_space_group_name_Hall 'P 1'
_cell_length_a 5.3238
_cell_length_b 9.4919
_cell_length_c 8.7744
_cell_angle_alpha 122.74
_cell_angle_beta 107.66
_cell_angle_gamma 90.00
loop_
_atom_site_label
_atom_site_type_symbol
_atom_site_fract_x
_atom_site_fract_y
_atom_site_fract_z
Zn1 Zn 0.4013 0.1502 0.3105
Zn2 Zn 0.5996 0.3496 0.1992
Zn3 Zn 0.0908 0.3397 0.6895
Zn4 Zn 0.0371 0.7871 0.0743
Zn5 Zn 0.0908 0.8498 0.6895
Zn6 Zn 0.4004 0.6504 0.8008
Zn7 Zn 0.4013 0.6603 0.3105
Zn8 Zn 0.9092 0.6603 0.3105
Zn9 Zn 0.9629 0.2129 0.9257
Zn10 Zn 0.5987 0.8498 0.6895
Zn11 Zn 0.5987 0.3397 0.6895
Zn12 Zn 0.9092 0.1502 0.3105
Sc1 Sc 0.1861 0.4361 0.3722
Sc2 Sc 0.8139 0.5639 0.6278
Ag1 Ag 0.0000 0.0000 0.5000
Ag2 Ag 0.5000 0.0000 0.5000
Al1 Al 0.5000 0.5000 0.0000
Al2 Al 0.5000 0.0000 0.0000
# Formation energy: 166 meV per atom
# Volume: 348 Å³/cell


Entry 20:
# Tb6Y12In | Alexandria | PBE-GGA | relaxed
data_Tb6Y12In
_chemical_formula_sum 'Tb6 Y12 In1'
_space_group_name_H-M_alt 'P 1'
_space_group_IT_number 1
_space_group_name_Hall 'P 1'
_cell_length_a 8.6101
_cell_length_b 8.6101
_cell_length_c 8.6101
_cell_angle_alpha 97.28
_cell_angle_beta 97.28
_cell_angle_gamma 97.28
loop_
_atom_site_label
_atom_site_type_symbol
_atom_site_fract_x
_atom_site_fract_y
_atom_site_fract_z
Tb1 Tb 0.1343 0.1348 0.4065
Tb2 Tb 0.8652 0.5935 0.8657
Tb3 Tb 0.1348 0.4065 0.1343
Tb4 Tb 0.4065 0.1343 0.1348
Tb5 Tb 0.5935 0.8657 0.8652
Tb6 Tb 0.8657 0.8652 0.5935
Y1 Y 0.7403 0.2597 0.0003
Y2 Y 0.5809 0.1713 0.5807
Y3 Y 0.9997 0.2597 0.7403
Y4 Y 0.5807 0.5809 0.1713
Y5 Y 0.4191 0.8287 0.4193
Y6 Y 0.0003 0.7403 0.2597
Y7 Y 0.8287 0.4193 0.4191
Y8 Y 0.7403 0.9997 0.2597
Y9 Y 0.1713 0.5807 0.5809
Y10 Y 0.2597 0.7403 0.9997
Y11 Y 0.2597 0.0003 0.7403
Y12 Y 0.4193 0.4191 0.8287
In1 In 0.0000 0.0000 0.0000
# Formation energy: 98 meV per atom
# Volume: 621 Å³/cell